Entry from Alexandria: a geometry-optimized ErZrFe2O6 structure (PBE+U).

Output
E_tot	-0.2913	hartree per atom

a = 5.456 Å, b = 5.459 Å, c = 5.704 Å
α = 61.58°, β = 62.17°, γ = 59.75°
Each line ends with the local moment (μB).
Atoms (fractional coordinates):
O  0.101  0.399  0.753  0.11
O  0.212  0.899  0.255  0.11
O  0.402  0.744  0.753  0.11
O  0.905  0.643  0.245  0.10
O  0.740  0.111  0.745  0.11
O  0.644  0.208  0.248  0.11
Zr  0.807  0.807  0.572  0.03
Fe  0.018  0.018  0.944  4.33
Fe  0.526  0.525  0.425  3.79
Er  0.308  0.308  0.075  0.01